[1]
# Tl2InSe PBE optimized geometry
data_Tl2InSe
_chemical_formula_sum 'Tl2 In1 Se1'
_cell_length_a 4.061
_cell_length_b 4.002
_cell_length_c 7.041
_cell_angle_alpha 90.00
_cell_angle_beta 90.10
_cell_angle_gamma 90.00
_symmetry_space_group_name_H-M 'P 1 2/m 1'
_symmetry_Int_Tables_number 10
_symmetry_space_group_name_Hall '-P 2y'
loop_
_atom_site_label
_atom_site_type_symbol
_atom_site_fract_x
_atom_site_fract_y
_atom_site_fract_z
Tl1 Tl 0.002 0.000 0.268
In1 In 0.500 0.500 0.000
Se1 Se 0.500 0.500 0.500
# Distance to the lowest polymorph of the same formula in eV/f.u.: 0.31
# Formation energy from raw total energies in kJ/mol of formula units: -58.3


[2]
# La2CdPd PBE optimized geometry
data_La2CdPd
_chemical_formula_sum 'La2 Cd1 Pd1'
_cell_length_a 3.766
_cell_length_b 3.766
_cell_length_c 7.782
_cell_angle_alpha 90.00
_cell_angle_beta 90.00
_cell_angle_gamma 90.00
_symmetry_space_group_name_H-M 'P 4/m m m'
_symmetry_Int_Tables_number 123
_symmetry_space_group_name_Hall '-P 4 2'
loop_
_atom_site_label
_atom_site_type_symbol
_atom_site_fract_x
_atom_site_fract_y
_atom_site_fract_z
La1 La 0.000 0.000 0.223
Cd1 Cd 0.500 0.500 0.500
Pd1 Pd 0.500 0.500 0.000
# ΔE_f in kcal/mol of atoms: -12.4


[3]
# Sr2CdCuH PBE optimized geometry
data_Sr2CdCuH
_chemical_formula_sum 'Sr2 Cd1 Cu1 H1'
_cell_length_a 6.088
_cell_length_b 6.088
_cell_length_c 3.630
_cell_angle_alpha 90.00
_cell_angle_beta 90.00
_cell_angle_gamma 90.00
_symmetry_space_group_name_H-M 'P 4/m m m'
_symmetry_Int_Tables_number 123
_symmetry_space_group_name_Hall '-P 4 2'
loop_
_atom_site_label
_atom_site_type_symbol
_atom_site_fract_x
_atom_site_fract_y
_atom_site_fract_z
Sr1 Sr 0.000 0.500 0.000
Cd1 Cd 0.000 0.000 0.500
Cu1 Cu 0.500 0.500 0.000
H1 H 0.500 0.500 0.500
# Distance to the lowest polymorph of the same formula in eV/f.u.: 1.44


[4]
# Al2Tl2Zn PBE optimized geometry
data_Al2Tl2Zn
_chemical_formula_sum 'Al4 Tl4 Zn2'
_cell_length_a 3.786
_cell_length_b 3.786
_cell_length_c 17.205
_cell_angle_alpha 90.00
_cell_angle_beta 90.00
_cell_angle_gamma 90.00
_symmetry_space_group_name_H-M 'I 4/m m m'
_symmetry_Int_Tables_number 139
_symmetry_space_group_name_Hall '-I 4 2'
loop_
_atom_site_label
_atom_site_type_symbol
_atom_site_fract_x
_atom_site_fract_y
_atom_site_fract_z
Al1 Al 0.000 0.500 0.250
Tl1 Tl 0.000 0.000 0.101
Zn1 Zn 0.000 0.000 0.500
# Distance to the lowest polymorph of the same formula in eV/f.u.: 0.45
# ΔE_f in kcal/mol of atoms: 6.6


[5]
# Tb2NiHg PBE optimized geometry
data_Tb2NiHg
_chemical_formula_sum 'Tb8 Ni4 Hg4'
_cell_length_a 7.167
_cell_length_b 7.167
_cell_length_c 7.167
_cell_angle_alpha 90.00
_cell_angle_beta 90.00
_cell_angle_gamma 90.00
_symmetry_space_group_name_H-M 'F m -3 m'
_symmetry_Int_Tables_number 225
_symmetry_space_group_name_Hall '-F 4 2 3'
loop_
_atom_site_label
_atom_site_type_symbol
_atom_site_fract_x
_atom_site_fract_y
_atom_site_fract_z
Tb1 Tb 0.250 0.250 0.250
Ni1 Ni 0.000 0.000 0.000
Hg1 Hg 0.000 0.000 0.500
# Distance to the lowest polymorph of the same formula in eV/f.u.: 0.32
# ΔE_f in kcal/mol of atoms: -8.1


[6]
# Ho2PuMg PBE optimized geometry
data_Ho2PuMg
_chemical_formula_sum 'Ho6 Pu3 Mg3'
_cell_length_a 3.3516
_cell_length_b 3.3516
_cell_length_c 36.0547
_cell_angle_alpha 90.00
_cell_angle_beta 90.00
_cell_angle_gamma 120.00
_symmetry_space_group_name_H-M 'R -3 m'
_symmetry_Int_Tables_number 166
_symmetry_space_group_name_Hall '-R 3 2"'
loop_
_atom_site_label
_atom_site_type_symbol
_atom_site_fract_x
_atom_site_fract_y
_atom_site_fract_z
Ho1 Ho 0.0000 0.0000 0.0912
Pu1 Pu 0.0000 0.0000 0.0000
Mg1 Mg 0.0000 0.0000 0.5000
# Distance to the lowest polymorph of the same formula in eV/f.u.: 0.96
# ΔE_f in kcal/mol of atoms: 6.7


[7]
# Cs3NpSc2Se6 PBE optimized geometry
data_Cs3NpSc2Se6
_chemical_formula_sum 'Cs6 Np2 Sc4 Se12'
_cell_length_a 7.215
_cell_length_b 12.495
_cell_length_c 8.655
_cell_angle_alpha 90.00
_cell_angle_beta 106.15
_cell_angle_gamma 90.00
_symmetry_space_group_name_H-M 'C 1 2/m 1'
_symmetry_Int_Tables_number 12
_symmetry_space_group_name_Hall '-C 2y'
loop_
_atom_site_label
_atom_site_type_symbol
_atom_site_fract_x
_atom_site_fract_y
_atom_site_fract_z
Cs1 Cs 0.000 0.000 0.000
Cs2 Cs 0.000 0.335 0.000
Np1 Np 0.000 0.500 0.500
Sc1 Sc 0.000 0.167 0.500
Se1 Se 0.212 0.000 0.679
Se2 Se 0.234 0.326 0.680
# Formation energy from raw total energies in kJ/mol of formula units: -1667.3


[8]
# Rb3Pr2DySe6 PBE optimized geometry
data_Rb3Pr2DySe6
_chemical_formula_sum 'Rb6 Pr4 Dy2 Se12'
_cell_length_a 7.541
_cell_length_b 13.062
_cell_length_c 8.408
_cell_angle_alpha 90.00
_cell_angle_beta 107.42
_cell_angle_gamma 90.00
_symmetry_space_group_name_H-M 'C 1 2/m 1'
_symmetry_Int_Tables_number 12
_symmetry_space_group_name_Hall '-C 2y'
loop_
_atom_site_label
_atom_site_type_symbol
_atom_site_fract_x
_atom_site_fract_y
_atom_site_fract_z
Rb1 Rb 0.000 0.000 0.000
Rb2 Rb 0.000 0.332 0.000
Pr1 Pr 0.000 0.166 0.500
Dy1 Dy 0.000 0.500 0.500
Se1 Se 0.228 0.338 0.700
Se2 Se 0.243 0.000 0.700
# Formation energy from raw total energies in kJ/mol of formula units: -2004.8


Which total energy belongs to each record? In order, -2.890; -4.529; -2.242; -2.411; -4.188; -5.981; -5.529; -4.896 eV/atom.